No. 1
HAu4N2, relaxed, DFT PBE; magnetization = 0.0 μB/cell; DFT total energy = -3.547 eV/atom; mass density = 11.721 g/cm3
1.0
-1.977 1.977 7.401
1.977 -1.977 7.401
1.977 1.977 -7.401
H Au N
1 4 2
Cartesian
0.000 0.000 0.000
1.977 0.000 0.000
0.000 0.000 4.079
0.000 1.977 0.000
0.000 0.000 10.722
0.000 0.000 6.159
0.000 0.000 8.643


No. 2
H3Os, relaxed, DFT PBE; magnetization = 0.0 μB/cell; DFT total energy = -4.947 eV/atom; mass density = 9.600 g/cm3
1.0
4.468 -1.465 0.000
4.468 1.465 0.000
-0.128 0.000 2.554
H Os
3 1
Cartesian
0.000 0.000 0.000
2.184 0.000 1.167
4.681 0.000 1.293
3.369 0.000 2.507


No. 3
Er2ScTe5, relaxed, DFT PBE; magnetization = 0.0 μB/cell; energy relative to the elements, uncorrected = -1.135 eV per atom; mass density = 5.810 g/cm3
1.0
3.019 -7.314 0.000
3.019 7.314 0.000
0.000 0.000 13.167
Er Sc Te
4 2 10
Cartesian
3.019 4.926 7.406
3.019 4.926 12.345
3.019 -4.926 0.822
3.019 -4.926 5.761
3.019 4.425 3.292
3.019 -4.425 9.875
3.019 6.810 1.634
3.019 6.810 4.950
3.019 3.171 9.875
3.019 2.546 1.062
3.019 2.546 5.522
3.019 -2.546 7.645
3.019 -2.546 12.105
3.019 -3.171 3.292
3.019 -6.810 8.217
3.019 -6.810 11.533


No. 4
AgGeBr2, relaxed, DFT PBE; magnetization = 0.0 μB/cell; energy relative to the elements, uncorrected = -0.001 eV per atom; mass density = 4.575 g/cm3
1.0
1.914 1.105 9.735
-1.914 1.105 9.735
0.000 -2.210 9.735
Ag Ge Br
1 1 2
Cartesian
0.000 0.000 0.000
0.000 0.000 14.603
0.000 0.000 3.113
0.000 0.000 26.093


No. 5
AcLuMgHg, relaxed, DFT PBE; magnetization = 0.0 μB/cell; mass density = 8.774 g/cm3; E_form = -0.192 eV/atom
1.0
0.000 3.900 3.900
3.900 0.000 3.900
3.900 3.900 0.000
Ac Lu Mg Hg
1 1 1 1
Cartesian
0.000 0.000 0.000
3.900 3.900 3.900
1.950 1.950 1.950
5.850 5.850 5.850


No. 6
NdIO, relaxed, DFT PBE; magnetization = 0.0 μB/cell; energy relative to the elements, uncorrected = -2.589 eV per atom; mass density = 5.678 g/cm3
1.0
2.042 1.179 11.622
-2.042 1.179 11.622
0.000 -2.358 11.622
Nd I O
2 2 2
Cartesian
0.000 0.000 7.284
0.000 0.000 27.583
0.000 0.000 13.726
0.000 0.000 21.142
0.000 0.000 4.921
0.000 0.000 29.946


No. 7
Pm2Dy2Tm5, relaxed, DFT PBE; magnetization = 0.0 μB/cell; mass density = 8.356 g/cm3; E_form = 0.217 eV/atom
1.0
-7.429 5.830 3.349
7.429 -5.830 3.349
7.429 5.830 -3.349
Pm Dy Tm
4 4 10
Cartesian
1.893 0.079 0.000
5.536 0.079 0.000
1.893 5.751 3.349
5.536 5.751 3.349
0.000 0.000 2.990
7.429 0.000 2.990
3.715 -0.162 3.703
3.715 5.992 0.354
9.546 3.065 -1.130
5.312 -2.765 2.219
3.715 2.939 -1.002
0.795 3.021 1.011
6.634 3.021 1.011
-2.117 2.765 2.219
9.546 2.765 2.219
3.715 2.890 2.347
-0.795 8.639 1.011
0.795 2.809 4.360


No. 8
TaTlS2F, relaxed, DFT PBE; magnetization = 2.7 μB/cell; energy relative to the elements, uncorrected = 0.435 eV per atom; mass density = 7.081 g/cm3
1.0
5.113 0.000 0.000
0.000 5.113 0.000
0.000 0.000 4.202
Ta Tl S F
1 1 2 1
Cartesian
0.000 0.000 0.000
2.556 2.556 2.101
0.000 2.556 2.101
2.556 0.000 2.101
2.556 2.556 0.000


No. 9
Mg2AgGe, relaxed, DFT PBE; magnetization = 0.0 μB/cell; mass density = 5.056 g/cm3; E_form = -0.156 eV/atom
1.0
4.452 0.000 0.000
0.000 4.452 0.000
0.000 0.000 3.797
Mg Ag Ge
2 1 1
Cartesian
0.000 2.226 0.000
2.226 0.000 0.000
0.000 0.000 1.899
2.226 2.226 1.899


No. 10
CeSmMg2, relaxed, DFT PBE; magnetization = 1.0 μB/cell; mass density = 4.961 g/cm3; E_form = -0.004 eV/atom
1.0
3.802 0.000 0.000
0.000 3.802 0.000
0.000 0.000 7.851
Ce Sm Mg
1 1 2
Cartesian
0.000 0.000 0.000
0.000 0.000 3.926
1.901 1.901 1.982
1.901 1.901 5.869


No. 11
AsPdWSe2, relaxed, DFT PBE; magnetization = 0.0 μB/cell; energy relative to the elements, uncorrected = 1.325 eV per atom; mass density = 7.964 g/cm3
1.0
4.813 0.000 0.000
0.000 4.813 0.000
0.000 0.000 4.708
As Pd W Se
1 1 1 2
Cartesian
0.000 0.000 0.000
0.000 0.000 2.354
2.407 2.407 0.000
0.000 2.407 2.354
2.407 0.000 2.354


No. 12
Ca2Sc2Sn7, relaxed, DFT PBE; magnetization = 0.0 μB/cell; mass density = 5.017 g/cm3; E_form = -0.190 eV/atom
1.0
4.811 -5.364 0.000
4.811 5.364 0.000
0.000 0.000 6.420
Ca Sc Sn
2 2 7
Cartesian
1.760 0.000 0.000
7.863 0.000 0.000
4.811 2.518 3.210
4.811 -2.518 3.210
0.000 0.000 3.210
2.406 2.682 1.520
2.406 2.682 4.900
2.406 -2.682 1.520
2.406 -2.682 4.900
4.811 0.000 1.477
4.811 0.000 4.943


No. 13
YPb, relaxed, DFT PBE; magnetization = 0.0 μB/cell; mass density = 8.214 g/cm3; E_form = -0.428 eV/atom
1.0
-2.622 5.373 3.187
2.622 -5.373 3.187
2.622 5.373 -3.187
Y Pb
3 3
Cartesian
0.000 0.000 0.000
0.000 3.508 0.972
0.000 7.238 0.972
2.622 1.764 0.942
0.000 0.000 3.213
0.000 3.610 4.129